No. 1
VASP calculation (PBE-GGA) on Li3AlAg3 after structural relaxation.

```
Li3AlAg3
1.0
-3.1696 -2.8142 4.8141
2.6991 -5.7283 -1.0212
4.4266 1.4182 3.7436
Li Al Ag
6 2 6
Direct
0.2524 0.2524 0.5000 Li
0.2788 0.7212 0.5000 Li
0.7212 0.2788 0.5000 Li
0.2972 0.7028 0.0000 Li
0.7028 0.2972 0.0000 Li
0.7476 0.7476 0.5000 Li
0.2432 0.2432 0.0000 Al
0.7568 0.7568 0.0000 Al
0.0000 0.0000 0.7486 Ag
0.5000 0.0000 0.2525 Ag
0.0000 0.5000 0.2525 Ag
0.5000 0.0000 0.7475 Ag
0.0000 0.5000 0.7475 Ag
0.0000 0.0000 0.2514 Ag
```

Summary:
The calculation puts the offset from the most stable computed form at 0 meV per atom. As for the calculated total energy: -2.730 eV/atom. The calculation puts the energy of formation from the pure elements at -0.153 eV per atom. The calculation puts the total magnetization at 0.0 Bohr magnetons per cell. The density of states at the Fermi level comes out at 4.27 states/eV/cell. Its space group is Cmmm, No. 65.

***

No. 2
VASP calculation (PBE-GGA) on Li3Al2Ag2 after structural relaxation.

```
Li3Al2Ag2
1.0
4.2739 -0.0278 -1.3613
-2.3469 3.8226 -0.0166
-0.1580 -0.0645 6.8636
Li Al Ag
3 2 2
Direct
0.0000 0.0000 0.0000 Li
0.7108 0.8553 0.5661 Li
0.2892 0.1447 0.4339 Li
0.1461 0.5734 0.7196 Al
0.8539 0.4266 0.2804 Al
0.4337 0.7165 0.1502 Ag
0.5663 0.2835 0.8498 Ag
```

Summary:
As for the calculated total energy: -2.945 eV/atom. The calculation puts the energy of formation from the pure elements at -0.240 eV per atom. The calculation puts the total magnetization at 0.0 Bohr magnetons per cell. The density of states at the Fermi level comes out at 2.61 states/eV/cell. Its space group is C2/m, No. 12.

***

No. 3
VASP calculation (PBE-GGA) on LiAlAg6 after structural relaxation.

```
LiAlAg6
1.0
-1.8739 1.1544 3.5494
0.5545 -5.3192 2.0228
5.0793 1.3835 2.2316
Li Al Ag
1 1 6
Direct
0.5000 0.5000 0.5000 Li
0.5000 0.0000 0.0000 Al
0.0000 0.7500 0.2500 Ag
0.0000 0.2500 0.7500 Ag
0.0000 0.7504 0.7504 Ag
0.0000 0.2496 0.2496 Ag
0.5000 0.5000 0.0000 Ag
0.5000 0.0000 0.5000 Ag
```

Summary:
The calculation puts the offset from the most stable computed form at 0 meV per atom. As for the calculated total energy: -2.938 eV/atom. The calculation puts the energy of formation from the pure elements at -0.093 eV per atom. The calculation puts the total magnetization at 0.0 Bohr magnetons per cell. The density of states at the Fermi level comes out at 1.64 states/eV/cell. Its space group is Cmmm, No. 65.

***

No. 4
VASP calculation (PBE-GGA) on Li4AlAg after structural relaxation.

```
Li4AlAg
1.0
4.9148 -1.2453 -0.0892
1.4328 -4.7461 1.0657
1.7904 -2.9947 -3.6797
Li Al Ag
4 1 1
Direct
0.8751 0.3750 0.3750 Li
0.3750 0.3750 0.8751 Li
0.3750 0.8751 0.3750 Li
0.3750 0.3750 0.3750 Li
0.0000 0.0000 0.0000 Al
0.7500 0.7500 0.7500 Ag
```

Summary:
The calculation puts the offset from the most stable computed form at 169 meV per atom. As for the calculated total energy: -2.381 eV/atom. The calculation puts the energy of formation from the pure elements at -0.006 eV per atom. The calculation puts the total magnetization at 0.5 Bohr magnetons per cell. The density of states at the Fermi level comes out at 3.45 states/eV/cell. Its space group is F-43m, No. 216.

***

What did the third record say?
VASP calculation (PBE-GGA) on LiAlAg6 after structural relaxation.

```
LiAlAg6
1.0
-1.8739 1.1544 3.5494
0.5545 -5.3192 2.0228
5.0793 1.3835 2.2316
Li Al Ag
1 1 6
Direct
0.5000 0.5000 0.5000 Li
0.5000 0.0000 0.0000 Al
0.0000 0.7500 0.2500 Ag
0.0000 0.2500 0.7500 Ag
0.0000 0.7504 0.7504 Ag
0.0000 0.2496 0.2496 Ag
0.5000 0.5000 0.0000 Ag
0.5000 0.0000 0.5000 Ag
```

Summary:
The calculation puts the offset from the most stable computed form at 0 meV per atom. As for the calculated total energy: -2.938 eV/atom. The calculation puts the energy of formation from the pure elements at -0.093 eV per atom. The calculation puts the total magnetization at 0.0 Bohr magnetons per cell. The density of states at the Fermi level comes out at 1.64 states/eV/cell. Its space group is Cmmm, No. 65.